This record from the Alexandria database describes crystalline VRe2AgSn at its relaxed geometry. The functional is GGA-PBE.

**Space-group type**: P4/mmm
**DOS at the Fermi energy**: 2.65 states/eV per atom
**Total energy**: -5.68 eV per atom
**ρ**: 9.43 g/cm³
**Energy of formation**: 2.496 eV per atom

a b c (Å): 4.886 4.886 4.796
angles (deg): 90.00 90.00 90.00
Sites, in units of the cell vectors:
V  0.000  0.000  0.000
Re  0.000  0.500  0.500
Re  0.500  0.000  0.500
Ag  0.500  0.500  0.000
Sn  0.500  0.500  0.500

***

This record from the Alexandria database describes crystalline KZrTiZn2 at its relaxed geometry. The functional is GGA-PBE.

**Space-group type**: P4/mmm
**DOS at the Fermi energy**: 0.73 states/eV per atom
**Total energy**: -2.49 eV per atom
**ρ**: 4.50 g/cm³
**Energy of formation**: 1.528 eV per atom

a b c (Å): 4.919 4.919 4.708
angles (deg): 90.00 90.00 90.00
Sites, in units of the cell vectors:
K  0.000  0.000  0.000
Zr  0.500  0.500  0.500
Ti  0.000  0.000  0.500
Zn  0.000  0.500  0.000
Zn  0.500  0.000  0.000

***

This record from the Alexandria database describes crystalline Sc12Cd3Fe at its relaxed geometry. The functional is GGA-PBE.

**Space-group type**: P4/mmm
**DOS at the Fermi energy**: 1.41 states/eV per atom
**Total energy**: -5.51 eV per atom
**ρ**: 4.34 g/cm³
**Energy of formation**: -0.061 eV per atom

a b c (Å): 4.527 4.527 17.405
angles (deg): 90.00 90.00 90.00
Sites, in units of the cell vectors:
Sc  0.000  0.000  0.000
Sc  0.000  0.000  0.242
Sc  0.000  0.000  0.500
Sc  0.000  0.000  0.758
Sc  0.000  0.500  0.109
Sc  0.000  0.500  0.371
Sc  0.000  0.500  0.629
Sc  0.000  0.500  0.891
Sc  0.500  0.000  0.109
Sc  0.500  0.000  0.371
Sc  0.500  0.000  0.629
Sc  0.500  0.000  0.891
Cd  0.500  0.500  0.244
Cd  0.500  0.500  0.500
Cd  0.500  0.500  0.756
Fe  0.500  0.500  0.000

***

This record from the Alexandria database describes crystalline Pr2P2Ru2N at its relaxed geometry. The functional is GGA-PBE.

**Energy relative to the elements, uncorrected**: -6.7 eV/f.u.
**Space-group type**: C2/m
**DOS at the Fermi energy**: 0.61 states/eV per atom
**Total energy**: -7.71 eV per atom
**ρ**: 7.46 g/cm³

a b c (Å): 11.390 3.928 6.880
angles (deg): 90.00 125.91 90.00
Sites, in units of the cell vectors:
Pr  0.063  0.000  0.302
Pr  0.437  0.500  0.698
Pr  0.563  0.500  0.302
Pr  0.937  0.000  0.698
P  0.182  0.500  0.719
P  0.318  0.000  0.281
P  0.682  0.000  0.719
P  0.818  0.500  0.281
Ru  0.199  0.500  0.083
Ru  0.301  0.000  0.917
Ru  0.699  0.000  0.083
Ru  0.801  0.500  0.917
N  0.000  0.500  0.000
N  0.500  0.000  0.000